Entry 1:
## TbGeHO4 (GGA-PBE)

Data for a relaxed TbGeHO4 crystal.

Output
As for the energy above the lowest structure with this stoichiometry: 537 meV per atom. The calculation puts the uncorrected energy at -6.333 eV per atom.

Cell: 4.8536 11.1211 6.0659 Å, 90.00 90.00 90.00°
Last column: nearest neighbours and their distance in Å.
Fractional positions:
O (0.1634, 0.6590, 0.4595)  1 Ge 1.79
O (0.3366, 0.1590, 0.0405)  1 Ge 1.79
O (0.8366, 0.3410, 0.9595)  1 Ge 1.79
O (0.2306, 0.4287, 0.2500)  1 Ge 1.74
O (0.6634, 0.8410, 0.5405)  1 Ge 1.79
O (0.6634, 0.8410, 0.9595)  1 Ge 1.79
O (0.1634, 0.6590, 0.0405)  1 Ge 1.79
O (0.7306, 0.0713, 0.7500)  1 Ge 1.74
O (0.6643, 0.5516, 0.2500)  2 H 1.81, 1 Ge 1.81
O (0.7694, 0.5713, 0.7500)  1 Ge 1.74
O (0.8366, 0.3410, 0.5405)  1 Ge 1.79
O (0.3366, 0.1590, 0.4595)  1 Ge 1.79
O (0.2694, 0.9287, 0.2500)  1 Ge 1.74
O (0.1643, 0.9484, 0.7500)  2 H 1.81, 1 Ge 1.81
O (0.3357, 0.4484, 0.7500)  2 H 1.81, 1 Ge 1.81
O (0.8357, 0.0516, 0.2500)  2 H 1.81, 1 Ge 1.81
Ge (0.0372, 0.5604, 0.2500)  4 O 1.74-1.81
Ge (0.4628, 0.0604, 0.2500)  4 O 1.74-1.81
Ge (0.5372, 0.9396, 0.7500)  4 O 1.74-1.81
Ge (0.9628, 0.4396, 0.7500)  4 O 1.74-1.81
H (0.0000, 0.0000, 0.0000)  2 O 1.81
H (0.0000, 0.0000, 0.5000)  2 O 1.81
H (0.5000, 0.5000, 0.0000)  2 O 1.81
H (0.5000, 0.5000, 0.5000)  2 O 1.81
Tb (0.4969, 0.7532, 0.2500)  6 O 2.17-2.38
Tb (0.9969, 0.7468, 0.7500)  6 O 2.17-2.38
Tb (0.5031, 0.2468, 0.7500)  6 O 2.17-2.38
Tb (0.0031, 0.2532, 0.2500)  6 O 2.17-2.38

---

Entry 2:
## TbGeHO4 (GGA-PBE)

Data for a relaxed TbGeHO4 crystal.

Output
As for the energy above the lowest structure with this stoichiometry: 0 meV per atom. The calculation puts the uncorrected energy at -6.870 eV per atom.

Cell: 7.8740 6.7489 6.9079 Å, 90.00 112.66 90.00°
Last column: nearest neighbours and their distance in Å.
Fractional positions:
O (0.5299, 0.7916, 0.7134)  1 H 0.99
O (0.8995, 0.6858, 0.9507)  1 Ge 1.74
O (0.4701, 0.2916, 0.7866)  1 H 0.99
O (0.1902, 0.9260, 0.2744)  1 Ge 1.75
O (0.4701, 0.2084, 0.2866)  1 H 0.99
O (0.1005, 0.1858, 0.5493)  1 Ge 1.74
O (0.2814, 0.9598, 0.9388)  1 Ge 1.75
O (0.1902, 0.5740, 0.7744)  1 Ge 1.75
O (0.8098, 0.4260, 0.2256)  1 Ge 1.75
O (0.8995, 0.8142, 0.4507)  1 Ge 1.74
O (0.7186, 0.4598, 0.5612)  1 Ge 1.75
O (0.8098, 0.0740, 0.7256)  1 Ge 1.75
O (0.1005, 0.3142, 0.0493)  1 Ge 1.74
O (0.7186, 0.0402, 0.0612)  1 Ge 1.75
O (0.2814, 0.5402, 0.4388)  1 Ge 1.75
O (0.5299, 0.7084, 0.2134)  1 H 0.99
H (0.5332, 0.6825, 0.6194)  1 O 0.99
H (0.4668, 0.1825, 0.8806)  1 O 0.99
H (0.5332, 0.8175, 0.1194)  1 O 0.99
H (0.4668, 0.3175, 0.3806)  1 O 0.99
Tb (0.2074, 0.8597, 0.6024)  6 O 2.26-2.40
Tb (0.7926, 0.1403, 0.3976)  6 O 2.26-2.40
Tb (0.2074, 0.6403, 0.1024)  6 O 2.26-2.40
Tb (0.7926, 0.3597, 0.8976)  6 O 2.26-2.40
Ge (0.7568, 0.8920, 0.8733)  4 O 1.74-1.83
Ge (0.2432, 0.1080, 0.1267)  4 O 1.74-1.83
Ge (0.7568, 0.6080, 0.3733)  4 O 1.74-1.83
Ge (0.2432, 0.3920, 0.6267)  4 O 1.74-1.83

---

Entry 3:
## TbGeH2O4 (GGA-PBE)

Data for a relaxed TbGeH2O4 crystal.

Output
As for the energy above the lowest structure with this stoichiometry: 7 meV per atom. The calculation puts the uncorrected energy at -6.235 eV per atom.

Cell: 6.8720 6.2191 4.9694 Å, 90.00 121.74 90.00°
Last column: nearest neighbours and their distance in Å.
Fractional positions:
O (0.0656, 0.5250, 0.3201)  1 H 1.20
O (0.9344, 0.0250, 0.6799)  1 H 1.20
O (0.4365, 0.2500, 0.9841)  1 H 1.04
O (0.0656, 0.9750, 0.3201)  1 H 1.20
O (0.5287, 0.2500, 0.5611)  1 H 1.46
O (0.5635, 0.7500, 0.0159)  1 H 1.04
O (0.9344, 0.4750, 0.6799)  1 H 1.20
O (0.4713, 0.7500, 0.4389)  1 H 1.46
H (0.0000, 0.0000, 0.5000)  2 O 1.20
H (0.4860, 0.2500, 0.8199)  1 O 1.04
H (0.5140, 0.7500, 0.1801)  1 O 1.04
H (0.0000, 0.5000, 0.5000)  2 O 1.20
Tb (0.8230, 0.7500, 0.8734)  6 O 2.24-2.40
Tb (0.1770, 0.2500, 0.1266)  6 O 2.24-2.40
Ge (0.2892, 0.7500, 0.5922)  2 O 1.78-1.95
Ge (0.7108, 0.2500, 0.4078)  2 O 1.78-1.95

---

Entry 4:
## TbGeH2O4 (GGA-PBE)

Data for a relaxed TbGeH2O4 crystal.

Output
As for the energy above the lowest structure with this stoichiometry: 0 meV per atom. The calculation puts the uncorrected energy at -6.242 eV per atom.

Cell: 12.0790 6.1862 5.0143 Å, 90.00 102.93 90.00°
Last column: nearest neighbours and their distance in Å.
Fractional positions:
O (0.7834, 0.0032, 0.7744)  1 H 1.46
O (0.5307, 0.7449, 0.5546)  1 H 1.03
O (0.2846, 0.9459, 0.7312)  1 H 1.04
O (0.5153, 0.2473, 0.9598)  1 H 1.49
O (0.4846, 0.7527, 0.0402)  1 H 1.49
O (0.9846, 0.7473, 0.0402)  1 H 1.49
O (0.9693, 0.2449, 0.4454)  1 H 1.03
O (0.2166, 0.9968, 0.2256)  1 H 1.46
O (0.2834, 0.4968, 0.7744)  1 H 1.46
O (0.4693, 0.2551, 0.4454)  1 H 1.03
O (0.7154, 0.0541, 0.2688)  1 H 1.04
O (0.0307, 0.7551, 0.5546)  1 H 1.03
O (0.7166, 0.5032, 0.2256)  1 H 1.46
O (0.7846, 0.5541, 0.7312)  1 H 1.04
O (0.2154, 0.4459, 0.2688)  1 H 1.04
O (0.0154, 0.2527, 0.9598)  1 H 1.49
H (0.7449, 0.0295, 0.4788)  1 O 1.04
H (0.2551, 0.9705, 0.5212)  1 O 1.04
H (0.9938, 0.2445, 0.6557)  1 O 1.03
H (0.2449, 0.4705, 0.4788)  1 O 1.04
H (0.5062, 0.7445, 0.3443)  1 O 1.03
H (0.0062, 0.7555, 0.3443)  1 O 1.03
H (0.4938, 0.2555, 0.6557)  1 O 1.03
H (0.7551, 0.5295, 0.5212)  1 O 1.04
Ge (0.1046, 0.2097, 0.2904)  3 O 1.78-1.97
Ge (0.8954, 0.7903, 0.7096)  3 O 1.78-1.97
Ge (0.3954, 0.7097, 0.7096)  3 O 1.78-1.97
Ge (0.6046, 0.2903, 0.2904)  3 O 1.78-1.97
Tb (0.8414, 0.2819, 0.0522)  6 O 2.23-2.49
Tb (0.3414, 0.2181, 0.0522)  6 O 2.23-2.49
Tb (0.1586, 0.7181, 0.9478)  6 O 2.23-2.49
Tb (0.6586, 0.7819, 0.9478)  6 O 2.23-2.49

---

Entry 5:
## TbGeHO4 (GGA-PBE)

Data for a relaxed TbGeHO4 crystal.

Output
As for the energy above the lowest structure with this stoichiometry: 30 meV per atom. The calculation puts the uncorrected energy at -6.840 eV per atom.

Cell: 5.2166 11.6584 4.7754 Å, 90.00 90.00 90.00°
Last column: nearest neighbours and their distance in Å.
Fractional positions:
Ge (0.0000, 0.3929, 0.2500)  4 O 1.74-1.83
Ge (0.5000, 0.8929, 0.2500)  4 O 1.74-1.83
Ge (0.0000, 0.6071, 0.7500)  4 O 1.74-1.83
Ge (0.5000, 0.1071, 0.7500)  4 O 1.74-1.83
O (0.7621, 0.0413, 0.9077)  1 Ge 1.74
O (0.2379, 0.0413, 0.5923)  1 Ge 1.74
O (0.6182, 0.2027, 0.4749)  1 H 1.24
O (0.2379, 0.9587, 0.0923)  1 Ge 1.74
O (0.2621, 0.5413, 0.5923)  1 Ge 1.74
O (0.3818, 0.2027, 0.0251)  1 H 1.24
O (0.3818, 0.7973, 0.5251)  1 H 1.24
O (0.2621, 0.4587, 0.0923)  1 Ge 1.74
O (0.7621, 0.9587, 0.4077)  1 Ge 1.74
O (0.1182, 0.2973, 0.5251)  1 H 1.24
O (0.8818, 0.7027, 0.4749)  1 H 1.24
O (0.7379, 0.5413, 0.9077)  1 Ge 1.74
O (0.6182, 0.7973, 0.9749)  1 H 1.24
O (0.1182, 0.7027, 0.0251)  1 H 1.24
O (0.8818, 0.2973, 0.9749)  1 H 1.24
O (0.7379, 0.4587, 0.4077)  1 Ge 1.74
H (0.0000, 0.2986, 0.7500)  2 O 1.24
H (0.0000, 0.7014, 0.2500)  2 O 1.24
H (0.5000, 0.2014, 0.2500)  2 O 1.24
H (0.5000, 0.7986, 0.7500)  2 O 1.24
Tb (0.0000, 0.1194, 0.2500)  6 O 2.25-2.46
Tb (0.5000, 0.6194, 0.2500)  6 O 2.25-2.46
Tb (0.5000, 0.3806, 0.7500)  6 O 2.25-2.46
Tb (0.0000, 0.8806, 0.7500)  6 O 2.25-2.46

---

Entry 6:
## TbGeHO4 (GGA-PBE)

Data for a relaxed TbGeHO4 crystal.

Output
As for the energy above the lowest structure with this stoichiometry: 538 meV per atom. The calculation puts the uncorrected energy at -6.332 eV per atom.

Cell: 11.0882 6.0838 4.8455 Å, 90.00 90.00 90.00°
Last column: nearest neighbours and their distance in Å.
Fractional positions:
O (0.1587, 0.0400, 0.3322)  1 Ge 1.79
O (0.5525, 0.2500, 0.6685)  1 Ge 1.81, 2 H 1.82
O (0.0525, 0.2500, 0.8315)  1 Ge 1.81, 2 H 1.82
O (0.4277, 0.2500, 0.2350)  1 Ge 1.74
O (0.4475, 0.7500, 0.3315)  1 Ge 1.81, 2 H 1.82
O (0.9277, 0.2500, 0.2650)  1 Ge 1.74
O (0.0723, 0.7500, 0.7350)  1 Ge 1.74
O (0.5723, 0.7500, 0.7650)  1 Ge 1.74
O (0.9475, 0.7500, 0.1685)  1 Ge 1.81, 2 H 1.82
O (0.3413, 0.9600, 0.8322)  1 Ge 1.79
O (0.6587, 0.0400, 0.1678)  1 Ge 1.79
O (0.6587, 0.4600, 0.1678)  1 Ge 1.79
O (0.8413, 0.5400, 0.6678)  1 Ge 1.79
O (0.1587, 0.4600, 0.3322)  1 Ge 1.79
O (0.3413, 0.5400, 0.8322)  1 Ge 1.79
O (0.8413, 0.9600, 0.6678)  1 Ge 1.79
Tb (0.2537, 0.2500, 0.9986)  6 O 2.17-2.37
Tb (0.7463, 0.7500, 0.0014)  6 O 2.17-2.37
Tb (0.2463, 0.7500, 0.4986)  6 O 2.17-2.37
Tb (0.7537, 0.2500, 0.5014)  6 O 2.17-2.37
Ge (0.4398, 0.7500, 0.9578)  4 O 1.74-1.81
Ge (0.9398, 0.7500, 0.5422)  4 O 1.74-1.81
Ge (0.5602, 0.2500, 0.0422)  4 O 1.74-1.81
Ge (0.0602, 0.2500, 0.4578)  4 O 1.74-1.81
H (0.0000, 0.5000, 0.0000)  2 O 1.82
H (0.0000, 0.0000, 0.0000)  2 O 1.82
H (0.5000, 0.0000, 0.5000)  2 O 1.82
H (0.5000, 0.5000, 0.5000)  2 O 1.82

---

Entry 7:
## TbGeH2O4 (GGA-PBE)

Data for a relaxed TbGeH2O4 crystal.

Output
As for the energy above the lowest structure with this stoichiometry: 349 meV per atom. The calculation puts the uncorrected energy at -5.893 eV per atom.

Cell: 6.2552 6.2552 6.2552 Å, 99.14 114.87 114.87°
Last column: nearest neighbours and their distance in Å.
Fractional positions:
O (0.6645, 0.5405, 0.2231)  1 H 1.19
O (0.6826, 0.1240, 0.4595)  1 H 1.19
O (0.1645, 0.9731, 0.7905)  1 H 1.19
O (0.8355, 0.6260, 0.8086)  1 H 1.19
O (0.1826, 0.2095, 0.3740)  1 H 1.19
O (0.3355, 0.5586, 0.8760)  1 H 1.19
O (0.3174, 0.7769, 0.4414)  1 H 1.19
O (0.8174, 0.1914, 0.0269)  1 H 1.19
H (0.0000, 0.7699, 0.7699)  2 O 1.19
H (0.5000, 0.9801, 0.4801)  2 O 1.19
H (0.5000, 0.5199, 0.0199)  2 O 1.19
H (0.0000, 0.2301, 0.2301)  2 O 1.19
Tb (0.5000, 0.2500, 0.7500)  2 H 2.19, 4 O 2.24
Tb (0.0000, 0.5000, 0.5000)  2 H 2.19, 4 O 2.24
Ge (0.5000, 0.7500, 0.2500)  2 H 1.87, 4 O 2.00
Ge (0.0000, 0.0000, 0.0000)  2 H 1.87, 4 O 2.00

---

Entry 8:
## TbGeHO4 (GGA-PBE)

Data for a relaxed TbGeHO4 crystal.

Output
As for the energy above the lowest structure with this stoichiometry: 75 meV per atom. The calculation puts the uncorrected energy at -6.795 eV per atom.

Cell: 5.1965 6.5256 4.5440 Å, 90.00 97.88 90.00°
Last column: nearest neighbours and their distance in Å.
Fractional positions:
H (0.0000, 0.0000, 0.5000)  2 O 1.22
H (0.0000, 0.5000, 0.5000)  2 O 1.22
O (0.9014, 0.4517, 0.7175)  1 H 1.22
O (0.9014, 0.0483, 0.7175)  1 H 1.22
O (0.3384, 0.7500, 0.8265)  1 Ge 1.75
O (0.0986, 0.9517, 0.2825)  1 H 1.22
O (0.6340, 0.7500, 0.3793)  1 Ge 1.72
O (0.6616, 0.2500, 0.1735)  1 Ge 1.75
O (0.3660, 0.2500, 0.6207)  1 Ge 1.72
O (0.0986, 0.5483, 0.2825)  1 H 1.22
Ge (0.6868, 0.2500, 0.5622)  4 O 1.72-1.81
Ge (0.3132, 0.7500, 0.4378)  4 O 1.72-1.81
Tb (0.2085, 0.2500, 0.0557)  6 O 2.24-2.44
Tb (0.7915, 0.7500, 0.9443)  6 O 2.24-2.44

---

Question: Among the records above, which one has the highest uncorrected energy?
Answer: number 7